## BaTbCdSe3 (PBE-GGA)

Data for a geometry-optimized BaTbCdSe3 structure.

Calculated values
- crystal system = orthorhombic
- electronic total energy (eV per atom) = -4.361

The structure in CIF format:
```
data_BaTbCdSe3
_chemical_formula_sum 'Ba4 Tb4 Cd4 Se12'
_symmetry_space_group_name_H-M 'C m c m'
_symmetry_Int_Tables_number 63
_symmetry_space_group_name_Hall '-C 2c 2'
_cell_length_a 4.317
_cell_length_b 14.811
_cell_length_c 10.751
_cell_angle_alpha 90.00
_cell_angle_beta 90.00
_cell_angle_gamma 90.00
loop_
_atom_site_label
_atom_site_type_symbol
_atom_site_fract_x
_atom_site_fract_y
_atom_site_fract_z
Ba1 Ba 0.000 0.236 0.250
Tb1 Tb 0.000 0.000 0.000
Cd1 Cd 0.000 0.477 0.750
Se1 Se 0.000 0.090 0.750
Se2 Se 0.000 0.368 0.551
```

***

## TaBeOs (PBE-GGA)

Data for a geometry-optimized TaBeOs structure.

Calculated values
- crystal system = orthorhombic
- energy above the lowest structure with this stoichiometry (eV per atom) = 0.000

The structure in CIF format:
```
data_TaBeOs
_chemical_formula_sum 'Ta6 Be6 Os6'
_symmetry_space_group_name_H-M 'P m m a'
_symmetry_Int_Tables_number 51
_cell_length_a 11.394
_cell_length_b 3.155
_cell_length_c 6.591
_cell_angle_alpha 90.00
_cell_angle_beta 90.00
_cell_angle_gamma 90.00
loop_
_symmetry_equiv_pos_as_xyz
'x,y,z'
'-x,-y,-z'
'-x+1/2,-y,z'
'x+1/2,y,-z'
'x+1/2,-y,-z'
'-x+1/2,y,z'
'-x,y,-z'
'x,-y,z'
loop_
_atom_site_label
_atom_site_type_symbol
_atom_site_fract_x
_atom_site_fract_y
_atom_site_fract_z
Ta1 Ta 0.047 0.000 0.239
Ta2 Ta 0.250 0.000 0.849
Be1 Be 0.089 0.500 0.946
Be2 Be 0.250 0.000 0.450
Os1 Os 0.121 0.500 0.577
Os2 Os 0.250 0.500 0.193
```